[1]
Computed, not measured: CeAg4Hg after structural relaxation at the PBE level of DFT.

Cell: 5.6280 5.6280 5.6280 Å, 60.00 60.00 60.00°
Each line ends with the local moment (μB).
Atoms (fractional coordinates):
Hg (0.0000, 0.0000, 0.0000)  -0.01
Ag (0.6256, 0.6256, 0.6256)  -0.01
Ag (0.1234, 0.6256, 0.6256)  -0.01
Ag (0.6256, 0.6256, 0.1233)  -0.01
Ag (0.6256, 0.1233, 0.6256)  -0.01
Ce (0.2500, 0.2500, 0.2500)  0.67

Properties
formation enthalpy at 0 K = -138 meV/atom

=====

[2]
Computed, not measured: Y2NiPt after structural relaxation at the PBE level of DFT.

Cell: 3.9594 3.9594 5.8124 Å, 90.00 90.00 89.99°
Atoms (fractional coordinates):
Ni (0.0000, 0.0000, 0.4149)
Pt (0.5000, 0.5000, 0.8322)
Y (0.0000, 0.0000, 0.9158)
Y (0.5000, 0.5000, 0.3370)

Properties
formation enthalpy at 0 K = -630 meV/atom

=====

[3]
Computed, not measured: Mg2Cd2Ga3 after structural relaxation at the PBE level of DFT.

Cell: 7.3406 7.3406 7.3406 Å, 109.47 109.47 109.47°
Atoms (fractional coordinates):
Mg (0.5000, 0.4735, 0.5000)
Mg (0.5265, 0.0265, 0.0265)
Mg (0.0000, 0.0000, 0.4735)
Mg (0.9735, 0.5000, 0.0000)
Cd (0.1498, 0.6498, 0.6498)
Cd (0.0000, 0.0000, 0.8502)
Cd (0.5000, 0.8502, 0.5000)
Cd (0.3502, 0.5000, 0.0000)
Ga (0.7500, 0.5063, 0.2563)
Ga (0.2500, 0.9937, 0.2437)
Ga (0.0063, 0.2563, 0.2500)
Ga (0.4937, 0.2437, 0.7500)
Ga (0.7563, 0.2500, 0.5063)
Ga (0.7437, 0.7500, 0.9937)

Properties
formation enthalpy at 0 K = 29 meV/atom

=====

[4]
Computed, not measured: ScAgTe2 after structural relaxation at the PBE level of DFT.

Cell: 4.5629 6.6292 4.5618 Å, 90.00 90.00 90.00°
Atoms (fractional coordinates):
Ag (0.0000, 0.6249, 0.3751)
Sc (0.5000, 0.6251, 0.8749)
Te (0.0000, 0.8801, 0.8750)
Te (0.5000, 0.3700, 0.3750)

Properties
total energy = -18.5 eV for the cell shown

=====

[5]
Computed, not measured: NaTm2AgF8 after structural relaxation at the PBE level of DFT.

Cell: 3.7857 5.7683 7.5898 Å, 89.99 90.00 89.97°
Each line ends with the local moment (μB).
Atoms (fractional coordinates):
F (0.4997, 0.7210, 0.4999)  0.00
F (0.5003, 0.2878, 0.0000)  0.01
F (0.9997, 0.7159, 0.2571)  0.00
F (0.4997, 0.7122, 0.0000)  0.01
F (0.0003, 0.2837, 0.2572)  0.00
F (0.5003, 0.2790, 0.5001)  0.00
F (0.0003, 0.2841, 0.7429)  0.00
F (0.9997, 0.7163, 0.7428)  0.00
Tm (0.5000, 0.4999, 0.2537)  0.00
Tm (0.5000, 0.5001, 0.7463)  0.00
Ag (0.0000, 0.0000, 0.0000)  0.10
Na (0.0000, 0.0000, 0.5000)  0.00

Properties
total energy = -68.9 eV for the cell shown

=====

[6]
Computed, not measured: CsCdInHg3 after structural relaxation at the PBE level of DFT.

Cell: 7.9984 8.1313 8.0310 Å, 120.41 90.00 90.00°
Atoms (fractional coordinates):
Cd (0.7500, 0.5860, 0.1721)
Cd (0.2500, 0.4140, 0.8279)
In (0.7500, 0.0061, 0.0121)
In (0.2500, 0.9939, 0.9879)
Hg (0.5000, 0.2711, 0.0000)
Hg (0.7500, 0.7952, 0.5905)
Hg (0.0000, 0.2711, 0.0000)
Hg (0.5000, 0.7289, 0.0000)
Hg (0.2500, 0.2048, 0.4095)
Hg (0.0000, 0.7289, 0.0000)
Cs (0.2500, 0.7147, 0.4294)
Cs (0.7500, 0.2853, 0.5706)

Properties
formation enthalpy at 0 K = -82 meV/atom

=====

[7]
Computed, not measured: SmSc3S6 after structural relaxation at the PBE level of DFT.

Cell: 3.7967 10.6600 10.8722 Å, 109.41 90.00 90.00°
Atoms (fractional coordinates):
S (0.7500, 0.1223, 0.4655)
S (0.2500, 0.2022, 0.2490)
S (0.2500, 0.5235, 0.3873)
S (0.7500, 0.7288, 0.2688)
S (0.7500, 0.9186, 0.0890)
S (0.2500, 0.6083, 0.9429)
S (0.2500, 0.8777, 0.5345)
S (0.2500, 0.2712, 0.7312)
S (0.7500, 0.3917, 0.0571)
S (0.7500, 0.4765, 0.6127)
S (0.2500, 0.0814, 0.9110)
S (0.7500, 0.7978, 0.7510)
Sc (0.2500, 0.3204, 0.5006)
Sc (0.7500, 0.1604, 0.0889)
Sc (0.2500, 0.5556, 0.1645)
Sc (0.2500, 0.8396, 0.9111)
Sc (0.7500, 0.4444, 0.8355)
Sc (0.7500, 0.6796, 0.4994)
Sm (0.7500, 0.0510, 0.6991)
Sm (0.2500, 0.9490, 0.3009)

Properties
total energy = -135.8 eV for the cell shown

=====

[8]
Computed, not measured: SmLuGaCu after structural relaxation at the PBE level of DFT.

Cell: 5.0056 5.0056 5.0056 Å, 60.00 60.00 60.00°
Atoms (fractional coordinates):
Cu (0.0000, 0.0000, 0.0000)
Sm (0.2500, 0.2500, 0.2500)
Lu (0.7500, 0.7500, 0.7500)
Ga (0.5000, 0.5000, 0.5000)

Properties
formation enthalpy at 0 K = -397 meV/atom